# Na3Co3OsO8

A geometry-optimized Na3Co3OsO8 structure (PBE with a Hubbard U, the Alexandria database).

a b c (Å): 10.2489 5.9006 6.3671
angles (deg): 90.00 122.50 90.00
Last column: nearest neighbours and their distance in Å.
Space group C2/m (No. 12)
Asymmetric unit:
Na (0.0000, 0.0000, 0.0000)  6 O 2.39-2.41
Na (0.2500, 0.2500, 0.0000)  6 O 2.39-2.41
Co (0.0000, 0.5000, 0.5000)  6 O 1.96-1.98
Co (0.2500, 0.2500, 0.5000)  6 O 1.96-1.98
Os (0.0000, 0.0000, 0.5000)  6 O 2.01-2.02
O (0.0231, 0.2554, 0.3132)  2 Co 1.96, 1 Os 2.01
O (0.2292, 0.5000, 0.6887)  3 Co 1.98
O (0.2331, 0.0000, 0.6868)  2 Co 1.96, 1 Os 2.02

**Magnetic moment**: 4.01 Bohr magnetons per cell
**DFT total energy**: -174.73 eV/cell